Entry 1:
Compound: CsKTl2Au
Source: the Alexandria database
Functional: PBE-GGA
Structure: relaxed

Calculated values
symmetry: Imm2, No. 44
total magnetic moment: 0.00 Bohr magnetons per cell
ΔE to the lowest computed polymorph: 0.0 meV per atom
ΔE_f: -0.11 eV/atom

Cell: 7.8235 7.8235 7.8235 Å, 144.15 136.86 57.30°
Fractional positions:
Cs (0.0000, 0.0000, 0.0000)
K (0.2258, 0.7258, 0.5000)
Tl (0.4041, 0.4041, 0.0000)
Tl (0.7548, 0.2548, 0.5000)
Au (0.6139, 0.6139, 0.0000)


Entry 2:
Compound: TaTlOs2
Source: the Alexandria database
Functional: PBE-GGA
Structure: relaxed

Calculated values
symmetry: Pmmm, No. 47
total magnetic moment: 0.00 Bohr magnetons per cell
ΔE to the lowest computed polymorph: 491.9 meV per atom
ΔE_f: 0.77 eV/atom

Cell: 3.1670 4.4232 4.8937 Å, 90.00 90.00 90.00°
Fractional positions:
Ta (0.0000, 0.0000, 0.0000)
Tl (0.5000, 0.0000, 0.5000)
Os (0.0000, 0.5000, 0.5000)
Os (0.5000, 0.5000, 0.0000)


Entry 3:
Compound: SmThPa
Source: the Alexandria database
Functional: PBE-GGA
Structure: relaxed

Calculated values
symmetry: P-6m2, No. 187
total magnetic moment: 0.00 Bohr magnetons per cell
ΔE to the lowest computed polymorph: 118.2 meV per atom
ΔE_f: 0.29 eV/atom

Cell: 5.5431 5.5431 3.3642 Å, 90.00 90.00 120.00°
Fractional positions:
Sm (0.0000, 0.0000, 0.0000)
Th (0.6667, 0.3333, 0.5000)
Pa (0.3333, 0.6667, 0.0000)


Entry 4:
Compound: TbPm2Dy8
Source: the Alexandria database
Functional: PBE-GGA
Structure: relaxed

Calculated values
symmetry: C2/m, No. 12
total magnetic moment: 0.00 Bohr magnetons per cell
ΔE to the lowest computed polymorph: 0.0 meV per atom
ΔE_f: 0.02 eV/atom

Cell: 9.4232 9.4232 7.9724 Å, 104.72 104.72 31.00°
Fractional positions:
Tb (0.0000, 0.0000, 0.0000)
Pm (0.2729, 0.2729, 0.3630)
Pm (0.7271, 0.7271, 0.6370)
Dy (0.0900, 0.0900, 0.4539)
Dy (0.1813, 0.1813, 0.9082)
Dy (0.3645, 0.3645, 0.8208)
Dy (0.4552, 0.4552, 0.2725)
Dy (0.5448, 0.5448, 0.7275)
Dy (0.6355, 0.6355, 0.1792)
Dy (0.8187, 0.8187, 0.0918)
Dy (0.9100, 0.9100, 0.5461)


Entry 5:
Compound: Rb4HfU3S8
Source: the Alexandria database
Functional: PBE-GGA
Structure: relaxed

Calculated values
symmetry: R-3m, No. 166
total magnetic moment: 9.78 Bohr magnetons per cell
uncorrected formation energy: -1358 meV per atom

Cell: 9.0294 9.0294 9.0294 Å, 52.35 52.35 52.35°
Fractional positions:
Rb (0.0000, 0.0000, 0.0000)
Rb (0.0000, 0.5000, 0.5000)
Rb (0.5000, 0.0000, 0.5000)
Rb (0.5000, 0.5000, 0.0000)
Hf (0.5000, 0.5000, 0.5000)
U (0.0000, 0.0000, 0.5000)
U (0.0000, 0.5000, 0.0000)
U (0.5000, 0.0000, 0.0000)
S (0.2327, 0.2327, 0.2327)
S (0.2477, 0.7216, 0.7216)
S (0.2784, 0.2784, 0.7523)
S (0.2784, 0.7523, 0.2784)
S (0.7216, 0.2477, 0.7216)
S (0.7216, 0.7216, 0.2477)
S (0.7523, 0.2784, 0.2784)
S (0.7673, 0.7673, 0.7673)


Entry 6:
Compound: TaTlSe
Source: the Alexandria database
Functional: PBE-GGA
Structure: relaxed

Calculated values
symmetry: P-6m2, No. 187
total magnetic moment: 0.00 Bohr magnetons per cell
ΔE to the lowest computed polymorph: 358.3 meV per atom
uncorrected formation energy: 241 meV per atom

Cell: 4.5171 4.5171 3.6332 Å, 90.00 90.00 120.00°
Fractional positions:
Ta (0.0000, 0.0000, 0.0000)
Tl (0.3333, 0.6667, 0.5000)
Se (0.6667, 0.3333, 0.0000)


Entry 7:
Compound: LaPmAs2Rh5
Source: the Alexandria database
Functional: PBE-GGA
Structure: relaxed

Calculated values
symmetry: P4/mmm, No. 123
total magnetic moment: 0.00 Bohr magnetons per cell
ΔE_f: -0.79 eV/atom

Cell: 4.2921 4.2921 8.9919 Å, 90.00 90.00 90.00°
Fractional positions:
La (0.0000, 0.0000, 0.0000)
Pm (0.0000, 0.0000, 0.5000)
As (0.5000, 0.5000, 0.1542)
As (0.5000, 0.5000, 0.8458)
Rh (0.0000, 0.5000, 0.2708)
Rh (0.0000, 0.5000, 0.7292)
Rh (0.5000, 0.0000, 0.2708)
Rh (0.5000, 0.0000, 0.7292)
Rh (0.5000, 0.5000, 0.5000)


Entry 8:
Compound: GdHoHgIr
Source: the Alexandria database
Functional: PBE-GGA
Structure: relaxed

Calculated values
symmetry: F-43m, No. 216
total magnetic moment: 7.08 Bohr magnetons per cell
ΔE_f: -0.61 eV/atom

Cell: 5.0500 5.0500 5.0500 Å, 60.00 60.00 60.00°
Fractional positions:
Gd (0.0000, 0.0000, 0.0000)
Ho (0.5000, 0.5000, 0.5000)
Hg (0.7500, 0.7500, 0.7500)
Ir (0.2500, 0.2500, 0.2500)